(1)
CeDyRuRh | PBE | optimized geometry

Cell lengths 4.871, 4.871, 4.871 Å; angles 60.00, 60.00, 60.00 degrees
Fractional positions:
Ce 0.000 0.000 0.000
Dy 0.500 0.500 0.500
Ru 0.750 0.750 0.750
Rh 0.250 0.250 0.250

Calculated values
For the magnetic moment, the calculation gives 0.166 μB per formula unit.

---

(2)
CeDyRuRh | PBE | optimized geometry

Cell lengths 3.457, 3.457, 6.839 Å; angles 90.00, 90.00, 90.00 degrees
Fractional positions:
Ce 0.000 0.000 0.000
Dy 0.000 0.000 0.502
Ru 0.500 0.500 0.762
Rh 0.500 0.500 0.240

Calculated values
For the magnetic moment, the calculation gives 0.000 μB per formula unit.

---

The data favor (2); the next most stable structure lies 22 meV/atom above it.